(1)
An optimized crystal structure of Zn2In2Ag, computed with PBE.

a b c (Å): 7.814 7.814 3.539
angles (deg): 90.00 90.00 90.00
Space group P4/mbm (No. 127)
Inequivalent atoms, fractional coordinates:
Zn: 0.119 0.381 0.000 [4 per cell]
In: 0.181 0.681 0.500 [4 per cell]
Ag: 0.000 0.000 0.500 [2 per cell]

Values from the calculation:
N(E_F): 1.36 states/eV/f.u.
Total moment: 0.000 μB/cell
DFT formation energy: 0.173 eV/atom

***

(2)
An optimized crystal structure of Zn4InAg3, computed with PBE.

a b c (Å): 2.923 7.301 13.812
angles (deg): 90.00 90.00 90.00
Space group Immm (No. 71)
Inequivalent atoms, fractional coordinates:
Zn: 0.000 0.181 0.150 [8 per cell]
In: 0.000 0.500 0.000 [2 per cell]
Ag: 0.000 0.000 0.321 [4 per cell]
Ag: 0.000 0.500 0.500 [2 per cell]

Values from the calculation:
N(E_F): 3.38 states/eV/f.u.
Total moment: 0.000 μB/cell
DFT formation energy: 0.081 eV/atom

***

(3)
An optimized crystal structure of Zn2InAg2, computed with PBE.

a b c (Å): 3.721 3.721 13.858
angles (deg): 90.00 90.00 90.00
Space group I4/mmm (No. 139)
Inequivalent atoms, fractional coordinates:
Zn: 0.000 0.500 0.250 [4 per cell]
In: 0.000 0.000 0.000 [2 per cell]
Ag: 0.000 0.000 0.395 [4 per cell]

Values from the calculation:
N(E_F): 1.50 states/eV/f.u.
Total moment: 0.000 μB/cell
DFT formation energy: 0.048 eV/atom

***

(4)
An optimized crystal structure of ZnIn2Ag3, computed with PBE.

a b c (Å): 7.310 7.402 9.344
angles (deg): 90.00 110.73 90.00
Space group C2/c (No. 15)
Inequivalent atoms, fractional coordinates:
Zn: 0.000 0.039 0.250 [4 per cell]
In: 0.116 0.337 0.102 [8 per cell]
Ag: 0.000 0.332 0.750 [4 per cell]
Ag: 0.196 0.086 0.566 [8 per cell]

Values from the calculation:
N(E_F): 2.09 states/eV/f.u.
Total moment: 0.000 μB/cell
DFT formation energy: 0.005 eV/atom